Record 1
Material: TiV2Mo8
Method: DFT, GGA-PBE
State: optimized geometry

Calculated values
SG   P2/m (10)
Calculated density   8.77 g cm⁻³
Magnetic moment   0.0 μB per formula unit
VASP energy   -110.31 eV for the cell shown

Structure (CIF):
```
data_TiV2Mo8
_symmetry_space_group_name_H-M 'P 1'
_symmetry_Int_Tables_number 1
_cell_length_a 5.467
_cell_length_b 4.487
_cell_length_c 7.215
_cell_angle_alpha 90.00
_cell_angle_beta 101.24
_cell_angle_gamma 90.00
loop_
_symmetry_equiv_pos_as_xyz
'x,y,z'
loop_
_atom_site_label
_atom_site_fract_x
_atom_site_fract_y
_atom_site_fract_z
_atom_site_occupancy
Ti1 0.000 0.000 0.000 1
V1 0.493 0.500 0.655 1
V2 0.507 0.500 0.345 1
Mo1 0.025 0.500 0.680 1
Mo2 0.228 0.000 0.402 1
Mo3 0.270 0.500 0.031 1
Mo4 0.380 0.000 0.805 1
Mo5 0.620 0.000 0.195 1
Mo6 0.730 0.500 0.969 1
Mo7 0.772 0.000 0.598 1
Mo8 0.975 0.500 0.320 1
```

---

Record 2
Material: Ti2VMo3
Method: DFT, GGA-PBE
State: optimized geometry

Calculated values
SG   P2/m (10)
Calculated density   7.81 g cm⁻³
Magnetic moment   0.0 μB per formula unit
VASP energy   -115.68 eV for the cell shown

Structure (CIF):
```
data_Ti2VMo3
_symmetry_space_group_name_H-M 'P 1'
_symmetry_Int_Tables_number 1
_cell_length_a 4.471
_cell_length_b 6.317
_cell_length_c 6.914
_cell_angle_alpha 90.00
_cell_angle_beta 108.75
_cell_angle_gamma 90.00
loop_
_symmetry_equiv_pos_as_xyz
'x,y,z'
loop_
_atom_site_label
_atom_site_fract_x
_atom_site_fract_y
_atom_site_fract_z
_atom_site_occupancy
Ti1 0.000 0.000 0.000 1
Ti2 0.000 0.500 0.000 1
Ti3 0.334 0.000 0.668 1
Ti4 0.666 0.000 0.332 1
V1 0.333 0.500 0.666 1
V2 0.667 0.500 0.334 1
Mo1 0.170 0.259 0.339 1
Mo2 0.170 0.741 0.339 1
Mo3 0.500 0.256 0.000 1
Mo4 0.500 0.744 0.000 1
Mo5 0.830 0.259 0.661 1
Mo6 0.830 0.741 0.661 1
```

---

Record 3
Material: TiV4Mo
Method: DFT, GGA-PBE
State: optimized geometry

Calculated values
SG   P2_1/m (11)
Calculated density   6.68 g cm⁻³
Magnetic moment   0.0 μB per formula unit
VASP energy   -110.51 eV for the cell shown

Structure (CIF):
```
data_TiV4Mo
_symmetry_space_group_name_H-M 'P 1'
_symmetry_Int_Tables_number 1
_cell_length_a 5.276
_cell_length_b 4.355
_cell_length_c 7.940
_cell_angle_alpha 90.00
_cell_angle_beta 108.74
_cell_angle_gamma 90.00
loop_
_symmetry_equiv_pos_as_xyz
'x,y,z'
loop_
_atom_site_label
_atom_site_fract_x
_atom_site_fract_y
_atom_site_fract_z
_atom_site_occupancy
Ti1 0.128 0.250 0.256 1
Ti2 0.872 0.750 0.744 1
V1 0.119 0.250 0.919 1
V2 0.128 0.250 0.594 1
V3 0.375 0.750 0.083 1
V4 0.380 0.750 0.429 1
V5 0.620 0.250 0.571 1
V6 0.625 0.250 0.917 1
V7 0.872 0.750 0.406 1
V8 0.881 0.750 0.081 1
Mo1 0.374 0.750 0.752 1
Mo2 0.626 0.250 0.248 1
```

---

Record 4
Material: TiV6Mo2
Method: DFT, GGA-PBE
State: optimized geometry

Calculated values
SG   C2/m (12)
Calculated density   6.80 g cm⁻³
Magnetic moment   0.0 μB per formula unit
VASP energy   -82.43 eV for the cell shown

Structure (CIF):
```
data_TiV6Mo2
_symmetry_space_group_name_H-M 'P 1'
_symmetry_Int_Tables_number 1
_cell_length_a 5.001
_cell_length_b 5.001
_cell_length_c 6.610
_cell_angle_alpha 109.13
_cell_angle_beta 109.13
_cell_angle_gamma 60.57
loop_
_symmetry_equiv_pos_as_xyz
'x,y,z'
loop_
_atom_site_label
_atom_site_fract_x
_atom_site_fract_y
_atom_site_fract_z
_atom_site_occupancy
Ti1 0.000 0.000 0.000 1
V1 0.202 0.685 0.302 1
V2 0.247 0.247 0.471 1
V3 0.315 0.798 0.698 1
V4 0.685 0.202 0.302 1
V5 0.753 0.753 0.529 1
V6 0.798 0.315 0.698 1
Mo1 0.320 0.320 0.897 1
Mo2 0.680 0.680 0.103 1
```

---

Record 5
Material: Ti2V2Mo3
Method: DFT, GGA-PBE
State: optimized geometry

Calculated values
SG   C2/m (12)
Calculated density   7.53 g cm⁻³
Magnetic moment   0.8 μB per formula unit
VASP energy   -67.04 eV for the cell shown

Structure (CIF):
```
data_Ti2V2Mo3
_symmetry_space_group_name_H-M 'P 1'
_symmetry_Int_Tables_number 1
_cell_length_a 4.410
_cell_length_b 4.410
_cell_length_c 6.847
_cell_angle_alpha 108.83
_cell_angle_beta 108.83
_cell_angle_gamma 60.02
loop_
_symmetry_equiv_pos_as_xyz
'x,y,z'
loop_
_atom_site_label
_atom_site_fract_x
_atom_site_fract_y
_atom_site_fract_z
_atom_site_occupancy
Ti1 0.074 0.074 0.222 1
Ti2 0.926 0.926 0.778 1
V1 0.212 0.212 0.636 1
V2 0.788 0.788 0.364 1
Mo1 0.355 0.355 0.065 1
Mo2 0.500 0.500 0.500 1
Mo3 0.645 0.645 0.935 1
```

---

Record 6
Material: TiV12Mo6
Method: DFT, GGA-PBE
State: optimized geometry

Calculated values
SG   P-1 (2)
Calculated density   7.52 g cm⁻³
Magnetic moment   0.0 μB per formula unit
VASP energy   -183.69 eV for the cell shown

Structure (CIF):
```
data_TiV12Mo6
_symmetry_space_group_name_H-M 'P 1'
_symmetry_Int_Tables_number 1
_cell_length_a 5.103
_cell_length_b 6.810
_cell_length_c 7.954
_cell_angle_alpha 84.91
_cell_angle_beta 86.63
_cell_angle_gamma 82.56
loop_
_symmetry_equiv_pos_as_xyz
'x,y,z'
loop_
_atom_site_label
_atom_site_fract_x
_atom_site_fract_y
_atom_site_fract_z
_atom_site_occupancy
Ti1 0.000 0.000 0.000 1
V1 0.051 0.318 0.786 1
V2 0.162 0.944 0.366 1
V3 0.259 0.580 0.951 1
V4 0.322 0.897 0.735 1
V5 0.426 0.525 0.312 1
V6 0.483 0.835 0.102 1
V7 0.517 0.165 0.898 1
V8 0.574 0.475 0.688 1
V9 0.678 0.103 0.265 1
V10 0.741 0.420 0.049 1
V11 0.838 0.056 0.634 1
V12 0.949 0.682 0.214 1
Mo1 0.105 0.635 0.581 1
Mo2 0.215 0.264 0.155 1
Mo3 0.367 0.209 0.530 1
Mo4 0.633 0.791 0.470 1
Mo5 0.785 0.736 0.845 1
Mo6 0.895 0.365 0.419 1
```

---

Record 7
Material: Ti2V9Mo
Method: DFT, GGA-PBE
State: optimized geometry

Calculated values
SG   R-3m (166)
Calculated density   6.08 g cm⁻³
Magnetic moment   0.0 μB per formula unit
VASP energy   -106.08 eV for the cell shown

Structure (CIF):
```
data_Ti2V9Mo
_symmetry_space_group_name_H-M 'P 1'
_symmetry_Int_Tables_number 1
_cell_length_a 8.370
_cell_length_b 8.370
_cell_length_c 8.370
_cell_angle_alpha 35.59
_cell_angle_beta 35.59
_cell_angle_gamma 35.59
loop_
_symmetry_equiv_pos_as_xyz
'x,y,z'
loop_
_atom_site_label
_atom_site_fract_x
_atom_site_fract_y
_atom_site_fract_z
_atom_site_occupancy
Ti1 0.145 0.145 0.145 1
Ti2 0.855 0.855 0.855 1
V1 0.081 0.584 0.584 1
V2 0.333 0.333 0.333 1
V3 0.416 0.416 0.919 1
V4 0.416 0.919 0.416 1
V5 0.500 0.500 0.500 1
V6 0.584 0.081 0.584 1
V7 0.584 0.584 0.081 1
V8 0.667 0.667 0.667 1
V9 0.919 0.416 0.416 1
Mo1 0.000 0.000 0.000 1
```

---

Record 8
Material: Ti6V2Mo
Method: DFT, GGA-PBE
State: optimized geometry

Calculated values
SG   P-1 (2)
Calculated density   5.57 g cm⁻³
Magnetic moment   0.0 μB per formula unit
VASP energy   -76.24 eV for the cell shown

Structure (CIF):
```
data_Ti6V2Mo
_symmetry_space_group_name_H-M 'P 1'
_symmetry_Int_Tables_number 1
_cell_length_a 2.819
_cell_length_b 6.884
_cell_length_c 7.691
_cell_angle_alpha 99.87
_cell_angle_beta 91.20
_cell_angle_gamma 100.12
loop_
_symmetry_equiv_pos_as_xyz
'x,y,z'
loop_
_atom_site_label
_atom_site_fract_x
_atom_site_fract_y
_atom_site_fract_z
_atom_site_occupancy
Ti1 0.051 0.161 0.272 1
Ti2 0.229 0.496 0.833 1
Ti3 0.366 0.823 0.383 1
Ti4 0.634 0.177 0.617 1
Ti5 0.771 0.504 0.167 1
Ti6 0.949 0.839 0.728 1
V1 0.442 0.156 0.958 1
V2 0.558 0.844 0.042 1
Mo1 0.500 0.500 0.500 1
```

---

Record 9
Material: Ti2VMo4
Method: DFT, GGA-PBE
State: optimized geometry

Calculated values
SG   Cmmm (65)
Calculated density   7.78 g cm⁻³
Magnetic moment   0.0 μB per formula unit
VASP energy   -68.03 eV for the cell shown

Structure (CIF):
```
data_Ti2VMo4
_symmetry_space_group_name_H-M 'P 1'
_symmetry_Int_Tables_number 1
_cell_length_a 11.629
_cell_length_b 11.629
_cell_length_c 3.096
_cell_angle_alpha 90.00
_cell_angle_beta 90.00
_cell_angle_gamma 164.31
loop_
_symmetry_equiv_pos_as_xyz
'x,y,z'
loop_
_atom_site_label
_atom_site_fract_x
_atom_site_fract_y
_atom_site_fract_z
_atom_site_occupancy
Ti1 0.200 0.800 0.000 1
Ti2 0.800 0.200 0.000 1
V1 0.500 0.500 0.500 1
Mo1 0.067 0.933 0.000 1
Mo2 0.365 0.635 0.500 1
Mo3 0.635 0.365 0.500 1
Mo4 0.933 0.067 0.000 1
```

---

Record 10
Material: TiVMo3W
Method: DFT, GGA-PBE
State: optimized geometry

Calculated values
SG   P2_1/m (11)
Calculated density   10.20 g cm⁻³
Magnetic moment   0.0 μB per formula unit
VASP energy   -126.37 eV for the cell shown

Structure (CIF):
```
data_TiVMo3W
_symmetry_space_group_name_H-M 'P 1'
_symmetry_Int_Tables_number 1
_cell_length_a 7.003
_cell_length_b 3.136
_cell_length_c 8.925
_cell_angle_alpha 90.00
_cell_angle_beta 108.66
_cell_angle_gamma 90.00
loop_
_symmetry_equiv_pos_as_xyz
'x,y,z'
loop_
_atom_site_label
_atom_site_fract_x
_atom_site_fract_y
_atom_site_fract_z
_atom_site_occupancy
Ti1 0.166 0.250 0.289 1
Ti2 0.834 0.750 0.711 1
V1 0.499 0.250 0.125 1
V2 0.501 0.750 0.875 1
Mo1 0.166 0.750 0.545 1
Mo2 0.171 0.750 0.039 1
Mo3 0.176 0.250 0.797 1
Mo4 0.824 0.750 0.203 1
Mo5 0.829 0.250 0.961 1
Mo6 0.834 0.250 0.455 1
W1 0.496 0.250 0.624 1
W2 0.504 0.750 0.376 1
```

---

Record 11
Material: Ti2V3Mo6W
Method: DFT, GGA-PBE
State: optimized geometry

Calculated values
SG   C2/m (12)
Calculated density   8.92 g cm⁻³
Magnetic moment   0.0 μB per formula unit
VASP energy   -119.47 eV for the cell shown

Structure (CIF):
```
data_Ti2V3Mo6W
_symmetry_space_group_name_H-M 'P 1'
_symmetry_Int_Tables_number 1
_cell_length_a 4.741
_cell_length_b 4.741
_cell_length_c 8.988
_cell_angle_alpha 90.78
_cell_angle_beta 90.78
_cell_angle_gamma 111.69
loop_
_symmetry_equiv_pos_as_xyz
'x,y,z'
loop_
_atom_site_label
_atom_site_fract_x
_atom_site_fract_y
_atom_site_fract_z
_atom_site_occupancy
Ti1 0.171 0.829 0.000 1
Ti2 0.829 0.171 0.000 1
V1 0.000 0.000 0.500 1
V2 0.336 0.664 0.500 1
V3 0.664 0.336 0.500 1
Mo1 0.084 0.417 0.259 1
Mo2 0.248 0.248 0.745 1
Mo3 0.417 0.084 0.259 1
Mo4 0.583 0.916 0.741 1
Mo5 0.752 0.752 0.255 1
Mo6 0.916 0.583 0.741 1
W1 0.500 0.500 0.000 1
```

---

Record 12
Material: TiVZnMo
Method: DFT, GGA-PBE
State: optimized geometry

Calculated values
SG   P4mm (99)
Calculated density   7.17 g cm⁻³
Magnetic moment   0.0 μB per formula unit
VASP energy   -29.62 eV for the cell shown

Structure (CIF):
```
data_TiVZnMo
_symmetry_space_group_name_H-M 'P 1'
_symmetry_Int_Tables_number 1
_cell_length_a 3.177
_cell_length_b 3.177
_cell_length_c 5.968
_cell_angle_alpha 90.00
_cell_angle_beta 90.00
_cell_angle_gamma 90.00
loop_
_symmetry_equiv_pos_as_xyz
'x,y,z'
loop_
_atom_site_label
_atom_site_fract_x
_atom_site_fract_y
_atom_site_fract_z
_atom_site_occupancy
Ti1 0.000 0.000 0.000 1
V1 0.000 0.000 0.483 1
Zn1 0.500 0.500 0.736 1
Mo1 0.500 0.500 0.255 1
```